RbCuSnHg2 (GGA-PBE, relaxed); energy above the most stable polymorph in this dataset = 0.0 kJ/mol of atoms; total energy = -9.666 eV per cell; formation energy = 0.00 eV per atom
1.0
5.367 0.000 0.000
0.000 5.367 0.000
0.000 0.000 5.130
Rb Cu Sn Hg
1 1 1 2
direct
0.000 0.000 0.000
0.500 0.500 0.500
0.500 0.500 0.000
0.000 0.500 0.500
0.500 0.000 0.500